1.
# PBE Tb2Pm6Nd3Mg, optimized geometry
# V (Å³ per cell): 800.62
# Raw total energy (eV for the cell shown): -106.7
# Density of states at the Fermi level (states/eV per atom): 1.2697
# E_form (meV/atom): 25
data_Tb2Pm6Nd3Mg
_space_group_name_H-M_alt 'C 1 2/m 1'
_space_group_IT_number 12
_cell_length_a 6.273
_cell_length_b 10.879
_cell_length_c 11.919
_cell_angle_alpha 90.00
_cell_angle_beta 100.17
_cell_angle_gamma 90.00
loop_
_space_group_symop_operation_xyz
'x,y,z'
'-x,-y,-z'
'-x,y,-z'
'x,-y,z'
'x+1/2,y+1/2,z'
'-x+1/2,-y+1/2,-z'
'-x+1/2,y+1/2,-z'
'x+1/2,-y+1/2,z'
loop_
_atom_site_label
_atom_site_type_symbol
_atom_site_fract_x
_atom_site_fract_y
_atom_site_fract_z
Tb1 Tb 0.000 0.167 0.000
Pm1 Pm 0.246 0.334 0.245
Pm2 Pm 0.249 0.000 0.246
Nd1 Nd 0.000 0.000 0.500
Nd2 Nd 0.000 0.333 0.500
Mg1 Mg 0.000 0.500 0.000

2.
# PBE Sc2FeMo2, optimized geometry
# V (Å³ per cell): 180.10
# Raw total energy (eV for the cell shown): -83.4
# Density of states at the Fermi level (states/eV per atom): 1.3480
# E_form (meV/atom): 213
data_Sc2FeMo2
_space_group_name_H-M_alt 'P 4/m b m'
_space_group_IT_number 127
_space_group_name_Hall '-P 4 2ab'
_cell_length_a 6.231
_cell_length_b 6.231
_cell_length_c 4.639
_cell_angle_alpha 90.00
_cell_angle_beta 90.00
_cell_angle_gamma 90.00
loop_
_atom_site_label
_atom_site_type_symbol
_atom_site_fract_x
_atom_site_fract_y
_atom_site_fract_z
Sc1 Sc 0.171 0.329 0.000
Fe1 Fe 0.000 0.000 0.500
Mo1 Mo 0.146 0.646 0.500

3.
# PBE Ba3PdI3, optimized geometry
# V (Å³ per cell): 2654.37
# Raw total energy (eV for the cell shown): -196.8
# Density of states at the Fermi level (states/eV per atom): 0.4225
# Formation energy from raw total energies (meV/atom): -1284
data_Ba3PdI3
_space_group_name_H-M_alt 'I 41 3 2'
_space_group_IT_number 214
_space_group_name_Hall 'I 4bd 2c 3'
_cell_length_a 13.846
_cell_length_b 13.846
_cell_length_c 13.846
_cell_angle_alpha 90.00
_cell_angle_beta 90.00
_cell_angle_gamma 90.00
loop_
_atom_site_label
_atom_site_type_symbol
_atom_site_fract_x
_atom_site_fract_y
_atom_site_fract_z
Ba1 Ba 0.113 0.363 0.125
Pd1 Pd 0.125 0.125 0.125
I1 I 0.122 0.128 0.625

4.
# PBE NdSbAuS, optimized geometry
# V (Å³ per cell): 638.38
# Raw total energy (eV for the cell shown): -122.6
# Density of states at the Fermi level (states/eV per atom): 0.1579
# Formation energy from raw total energies (meV/atom): -1037
data_NdSbAuS
_space_group_name_H-M_alt 'R -3 m'
_space_group_IT_number 166
_space_group_name_Hall '-R 3 2"'
_cell_length_a 4.6497
_cell_length_b 4.6497
_cell_length_c 34.0961
_cell_angle_alpha 90.00
_cell_angle_beta 90.00
_cell_angle_gamma 120.00
loop_
_atom_site_label
_atom_site_type_symbol
_atom_site_fract_x
_atom_site_fract_y
_atom_site_fract_z
Nd1 Nd 0.0000 0.0000 0.1121
Sb1 Sb 0.0000 0.0000 0.2938
Au1 Au 0.0000 0.0000 0.3819
S1 S 0.0000 0.0000 0.1969

The highest density of states at the Fermi level belongs to which entry?
Sc2FeMo2